{"formula": "La2In2Ir3Pd", "functional": "PBE-GGA", "state": "relaxed", "dft_energy_ev_per_cell": -50.96, "vol_a3_per_atom": 21.6, "sg": "P3m1 (156)", "lattice": [[4.645, 0.000, 0.000], [-2.322, 4.022, 0.000], [0.000, 0.000, 9.232]], "species": ["La", "La", "In", "In", "Ir", "Ir", "Ir", "Pd"], "frac_coords": [[0.000, 0.000, 0.000], [0.333, 0.667, 0.512], [0.667, 0.333, 0.267], [0.667, 0.333, 0.759], [0.000, 0.000, 0.347], [0.000, 0.000, 0.666], [0.333, 0.667, 0.840], [0.333, 0.667, 0.171]]}